DFT (PBE+U) results for ZrCr2F after structural relaxation.

Spin magnetization: 2.177 μB/atom
Uncorrected energy: -5.881 eV/atom
D(E_F): 29.8 states/eV/cell

Geometry as CIF:
```
data_ZrCr2F
_space_group_name_H-M_alt 'F m -3 m'
_space_group_IT_number 225
_space_group_name_Hall '-F 4 2 3'
_cell_length_a 6.740
_cell_length_b 6.740
_cell_length_c 6.740
_cell_angle_alpha 90.00
_cell_angle_beta 90.00
_cell_angle_gamma 90.00
loop_
_atom_site_label
_atom_site_type_symbol
_atom_site_fract_x
_atom_site_fract_y
_atom_site_fract_z
Zr1 Zr 0.000 0.000 0.000
Cr1 Cr 0.250 0.250 0.250
F1 F 0.000 0.000 0.500
```